# 1
## La6SbO12 (PBE-GGA)

Data for crystalline La6SbO12 at its relaxed geometry.

Output
The formation energy without anion corrections comes out at -3.0379 eV per atom.

Unit cell a=10.4101 b=10.4101 c=9.9411 alpha=90.00 beta=90.00 gamma=120.00
Space group R-3 (No. 148, hexagonal axes)
Symmetry-distinct sites (fractional):
La 0.0495 0.2570 0.1524 (multiplicity 18)
Sb 0.0000 0.0000 0.5000 (multiplicity 3)
O 0.0371 0.2273 0.9042 (multiplicity 18)
O 0.0414 0.1847 0.3925 (multiplicity 18)

# 2
## LaFePt2 (PBE-GGA)

Data for crystalline LaFePt2 at its relaxed geometry.

Output
For the final energy, the calculation gives -7.043 eV/atom.

Unit cell a=4.3717 b=4.3717 c=15.1095 alpha=90.00 beta=90.00 gamma=120.00
Space group R-3m (No. 166, hexagonal axes)
Symmetry-distinct sites (fractional):
La 0.0000 0.0000 0.0000 (multiplicity 3)
Fe 0.0000 0.0000 0.5000 (multiplicity 3)
Pt 0.0000 0.0000 0.2068 (multiplicity 6)

# 3
## Ba2SrTl (PBE-GGA)

Data for crystalline Ba2SrTl at its relaxed geometry.

Output
For the final energy, the calculation gives -2.096 eV/atom.

Unit cell a=4.5807 b=5.4535 c=8.3337 alpha=90.00 beta=105.94 gamma=90.00
Space group Pm (No. 6)
Symmetry-distinct sites (fractional):
Ba 0.0000 0.0000 0.0000 (multiplicity 1)
Ba 0.3459 0.5000 0.6908 (multiplicity 1)
Sr 0.6358 0.5000 0.2717 (multiplicity 1)
Tl 0.7726 0.0000 0.5416 (multiplicity 1)

# 4
## LaPr2SmTm4 (PBE-GGA)

Data for crystalline LaPr2SmTm4 at its relaxed geometry.

Output
For the final energy, the calculation gives -4.239 eV/atom.

Unit cell a=6.7999 b=11.9136 c=13.2605 alpha=90.00 beta=90.00 gamma=90.00
Space group Imma (No. 74)
Symmetry-distinct sites (fractional):
La 0.2500 0.2500 0.2500 (multiplicity 4)
Pr 0.0000 0.0000 0.0000 (multiplicity 4)
Pr 0.2500 0.2500 0.7500 (multiplicity 4)
Sm 0.0000 0.0000 0.5000 (multiplicity 4)
Tm 0.0000 0.0005 0.2504 (multiplicity 8)
Tm 0.2504 0.2500 0.0012 (multiplicity 8)

# 5
## UNi2Os (PBE-GGA)

Data for crystalline UNi2Os at its relaxed geometry.

Output
For the final energy, the calculation gives -8.774 eV/atom.

Unit cell a=3.8500 b=3.8500 c=3.9869 alpha=90.00 beta=90.00 gamma=90.00
Space group P4/mmm (No. 123)
Symmetry-distinct sites (fractional):
U 0.0000 0.0000 0.0000 (multiplicity 1)
Ni 0.0000 0.5000 0.5000 (multiplicity 2)
Os 0.5000 0.5000 0.0000 (multiplicity 1)

# 6
## CaTlOs2 (PBE-GGA)

Data for crystalline CaTlOs2 at its relaxed geometry.

Output
For the final energy, the calculation gives -5.673 eV/atom.

Unit cell a=3.1982 b=4.9098 c=9.5109 alpha=90.00 beta=90.00 gamma=90.00
Space group Cmmm (No. 65)
Symmetry-distinct sites (fractional):
Ca 0.0000 0.0000 0.0000 (multiplicity 2)
Tl 0.0000 0.0000 0.5000 (multiplicity 2)
Os 0.0000 0.5000 0.2534 (multiplicity 4)

# 7
## MgBSb2Te (PBE-GGA)

Data for crystalline MgBSb2Te at its relaxed geometry.

Output
The formation energy without anion corrections comes out at 1.3531 eV per atom.

Unit cell a=5.3300 b=5.3300 c=5.4943 alpha=90.00 beta=90.00 gamma=90.00
Space group P4/mmm (No. 123)
Symmetry-distinct sites (fractional):
Mg 0.0000 0.0000 0.0000 (multiplicity 1)
B 0.5000 0.5000 0.5000 (multiplicity 1)
Sb 0.0000 0.5000 0.0000 (multiplicity 2)
Te 0.0000 0.0000 0.5000 (multiplicity 1)

# 8
## Y7In2Cu2 (PBE-GGA)

Data for crystalline Y7In2Cu2 at its relaxed geometry.

Output
For the final energy, the calculation gives -5.454 eV/atom.

Unit cell a=8.0387 b=11.2639 c=7.0237 alpha=90.00 beta=90.00 gamma=90.00
Space group Cmmm (No. 65)
Symmetry-distinct sites (fractional):
Y 0.0000 0.0000 0.0000 (multiplicity 2)
Y 0.0000 0.5000 0.2419 (multiplicity 4)
Y 0.2500 0.2500 0.2543 (multiplicity 8)
In 0.1755 0.0000 0.5000 (multiplicity 4)
Cu 0.0000 0.2956 0.0000 (multiplicity 4)

# 9
## La4I5Br2 (PBE-GGA)

Data for crystalline La4I5Br2 at its relaxed geometry.

Output
The formation energy without anion corrections comes out at -1.3199 eV per atom.

Unit cell a=20.6614 b=4.1448 c=11.8877 alpha=90.00 beta=99.86 gamma=90.00
Space group C2/m (No. 12)
Symmetry-distinct sites (fractional):
La 0.0247 0.0000 0.2121 (multiplicity 4)
La 0.1761 0.5000 0.5208 (multiplicity 4)
I 0.0000 0.5000 0.0000 (multiplicity 2)
I 0.1262 0.0000 0.7142 (multiplicity 4)
I 0.1847 0.0000 0.2970 (multiplicity 4)
Br 0.0371 0.5000 0.3929 (multiplicity 4)

# 10
## Be2CrHg (PBE-GGA)

Data for crystalline Be2CrHg at its relaxed geometry.

Output
For the final energy, the calculation gives -3.981 eV/atom.

Unit cell a=3.7545 b=3.0495 c=9.0339 alpha=90.00 beta=90.00 gamma=90.00
Space group Amm2 (No. 38)
Symmetry-distinct sites (fractional):
Be 0.0000 0.0000 0.0000 (multiplicity 2)
Be 0.5000 0.0000 0.1308 (multiplicity 2)
Cr 0.0000 0.0000 0.7063 (multiplicity 2)
Hg 0.5000 0.0000 0.4017 (multiplicity 2)

# 11
## MnPBr2 (PBE-GGA)

Data for crystalline MnPBr2 at its relaxed geometry.

Output
The formation energy without anion corrections comes out at -0.2129 eV per atom.

Unit cell a=3.5087 b=3.5087 c=8.3796 alpha=90.00 beta=90.00 gamma=90.00
Space group P4mm (No. 99)
Symmetry-distinct sites (fractional):
Mn 0.0000 0.0000 0.0000 (multiplicity 1)
P 0.5000 0.5000 0.9302 (multiplicity 1)
Br 0.0000 0.0000 0.2779 (multiplicity 1)
Br 0.5000 0.5000 0.6638 (multiplicity 1)

# 12
## TcTe2Pt (PBE-GGA)

Data for crystalline TcTe2Pt at its relaxed geometry.

Output
The formation energy without anion corrections comes out at -0.1285 eV per atom.

Unit cell a=4.1321 b=4.1324 c=6.1969 alpha=90.00 beta=90.13 gamma=90.00
Space group Pm (No. 6)
Symmetry-distinct sites (fractional):
Tc 0.0000 0.0000 0.0000 (multiplicity 1)
Te 0.5009 0.0000 0.2657 (multiplicity 1)
Te 0.9991 0.5000 0.7343 (multiplicity 1)
Pt 0.5001 0.5000 0.0000 (multiplicity 1)

# 13
## NaCN2 (PBE-GGA)

Data for crystalline NaCN2 at its relaxed geometry.

Output
The formation energy without anion corrections comes out at 1.8057 eV per atom.

Unit cell a=2.5227 b=2.5227 c=18.8087 alpha=90.00 beta=90.00 gamma=120.00
Space group R-3m (No. 166, hexagonal axes)
Symmetry-distinct sites (fractional):
Na 0.0000 0.0000 0.0000 (multiplicity 3)
C 0.0000 0.0000 0.5000 (multiplicity 3)
N 0.0000 0.0000 0.1178 (multiplicity 6)

# 14
## Cd2SnHg8 (PBE-GGA)

Data for crystalline Cd2SnHg8 at its relaxed geometry.

Output
For the final energy, the calculation gives -0.722 eV/atom.

Unit cell a=3.3836 b=8.0669 c=11.5668 alpha=108.63 beta=91.78 gamma=100.69
Space group P-1 (No. 2)
Symmetry-distinct sites (fractional):
Cd 0.2210 0.0016 0.3139 (multiplicity 2)
Sn 0.0000 0.5000 0.5000 (multiplicity 1)
Hg 0.1394 0.7254 0.7675 (multiplicity 2)
Hg 0.1733 0.8488 0.0425 (multiplicity 2)
Hg 0.3772 0.2325 0.5829 (multiplicity 2)
Hg 0.4957 0.5567 0.1416 (multiplicity 2)

# 15
## AlAsO (PBE-GGA)

Data for crystalline AlAsO at its relaxed geometry.

Output
The formation energy without anion corrections comes out at -1.5322 eV per atom.

Unit cell a=2.8822 b=5.3277 c=7.3304 alpha=111.19 beta=93.18 gamma=90.03
Space group P1 (No. 1)
Symmetry-distinct sites (fractional):
Al 0.0000 0.0000 0.0000 (multiplicity 1)
Al 0.4563 0.4999 0.9996 (multiplicity 1)
As 0.1843 0.3901 0.6518 (multiplicity 1)
As 0.1885 0.8900 0.6538 (multiplicity 1)
O 0.5184 0.8698 0.0928 (multiplicity 1)
O 0.9640 0.3699 0.0920 (multiplicity 1)

# 16
## TaRhC2O (PBE-GGA)

Data for crystalline TaRhC2O at its relaxed geometry.

Output
The formation energy without anion corrections comes out at 1.7187 eV per atom.

Unit cell a=3.8614 b=3.8614 c=3.7587 alpha=90.00 beta=90.00 gamma=90.00
Space group P4/mmm (No. 123)
Symmetry-distinct sites (fractional):
Ta 0.0000 0.0000 0.0000 (multiplicity 1)
Rh 0.5000 0.5000 0.0000 (multiplicity 1)
C 0.0000 0.5000 0.5000 (multiplicity 2)
O 0.5000 0.5000 0.5000 (multiplicity 1)

# 17
## NaTiBMo2 (PBE-GGA)

Data for crystalline NaTiBMo2 at its relaxed geometry.

Output
For the final energy, the calculation gives -4.618 eV/atom.

Unit cell a=4.4999 b=4.4999 c=4.2745 alpha=90.00 beta=90.00 gamma=90.00
Space group P4/mmm (No. 123)
Symmetry-distinct sites (fractional):
Na 0.0000 0.0000 0.0000 (multiplicity 1)
Ti 0.0000 0.0000 0.5000 (multiplicity 1)
B 0.5000 0.5000 0.5000 (multiplicity 1)
Mo 0.0000 0.5000 0.0000 (multiplicity 2)

# 18
## Pa5AsP4 (PBE-GGA)

Data for crystalline Pa5AsP4 at its relaxed geometry.

Output
For the final energy, the calculation gives -8.649 eV/atom.

Unit cell a=3.9889 b=5.6477 c=20.0038 alpha=90.00 beta=90.00 gamma=90.00
Space group Immm (No. 71)
Symmetry-distinct sites (fractional):
Pa 0.0000 0.0000 0.0000 (multiplicity 2)
Pa 0.0000 0.0000 0.1993 (multiplicity 4)
Pa 0.0000 0.0000 0.3957 (multiplicity 4)
As 0.0000 0.5000 0.0000 (multiplicity 2)
P 0.0000 0.5000 0.2020 (multiplicity 4)
P 0.0000 0.5000 0.4003 (multiplicity 4)

# 19
## HoNp4Ga15 (PBE-GGA)

Data for crystalline HoNp4Ga15 at its relaxed geometry.

Output
For the final energy, the calculation gives -5.357 eV/atom.

Unit cell a=4.2570 b=4.2570 c=21.3733 alpha=90.00 beta=90.00 gamma=90.00
Space group P4/mmm (No. 123)
Symmetry-distinct sites (fractional):
Ho 0.0000 0.0000 0.0000 (multiplicity 1)
Np 0.0000 0.0000 0.1993 (multiplicity 2)
Np 0.0000 0.0000 0.4000 (multiplicity 2)
Ga 0.0000 0.5000 0.1006 (multiplicity 4)
Ga 0.0000 0.5000 0.3000 (multiplicity 4)
Ga 0.0000 0.5000 0.5000 (multiplicity 2)
Ga 0.5000 0.5000 0.0000 (multiplicity 1)
Ga 0.5000 0.5000 0.2006 (multiplicity 2)
Ga 0.5000 0.5000 0.3997 (multiplicity 2)

# 20
## CsKPb (PBE-GGA)

Data for crystalline CsKPb at its relaxed geometry.

Output
For the final energy, the calculation gives -1.984 eV/atom.

Unit cell a=6.7871 b=6.7871 c=25.0078 alpha=90.00 beta=90.00 gamma=120.00
Space group R-3m (No. 166, hexagonal axes)
Symmetry-distinct sites (fractional):
Cs 0.0000 0.0000 0.1163 (multiplicity 6)
K 0.0000 0.0000 0.2954 (multiplicity 6)
Pb 0.0000 0.0000 0.4409 (multiplicity 6)